No. 1
A plane-wave DFT calculation with PBE was carried out for a geometry-optimized TbPuSi structure.

Lattice parameters (Å, degrees): 3.4703 7.5978 5.8069 90.00 90.00 90.00
Last column: magnetic moment on the atom in μB.
Sites, in units of the cell vectors:
Si 0.5000 0.8011 0.0699  -0.03
Si 0.0000 0.1989 0.5699  -0.03
Tb 0.0000 0.1086 0.0745  0.06
Tb 0.5000 0.8914 0.5745  0.06
Pu 0.0000 0.5313 0.8575  5.47
Pu 0.5000 0.4687 0.3575  5.47

As for the final energy: -8.333 eV/atom. The magnetic moment is 5.95 μB/f.u. As for the density: 9.35 g/cm³. Its symmetry is No. 31. For the calculated volume, the calculation gives 153.1 Å³ per cell. The value obtained for the formation energy without anion corrections is -0.205 eV per atom. The calculation puts the energy above the most stable polymorph in this dataset at 2 meV/atom.



No. 2
A plane-wave DFT calculation with PBE was carried out for a geometry-optimized TaTi2HgC structure.

Lattice parameters (Å, degrees): 4.2553 4.2553 4.2883 90.00 90.00 90.00
Sites, in units of the cell vectors:
C 0.0000 0.0000 0.0000
Ti 0.0000 0.5000 0.0000
Ti 0.5000 0.0000 0.0000
Hg 0.5000 0.5000 0.5000
Ta 0.0000 0.0000 0.5000

As for the final energy: -7.775 eV/atom. The magnetic moment is 0.00 μB/f.u. As for the density: 10.46 g/cm³. The value obtained for the energy relative to the elements is -0.34 eV per atom. Its symmetry is No. 123. For the calculated volume, the calculation gives 77.7 Å³ per cell.



No. 3
A plane-wave DFT calculation with PBE was carried out for a geometry-optimized Er5Mg2Tc2 structure.

Lattice parameters (Å, degrees): 7.2820 7.4348 9.5023 90.00 67.47 90.00
Sites, in units of the cell vectors:
Er 0.0000 0.0000 0.0000
Er 0.5000 0.5000 0.0000
Er 0.4320 0.1848 0.7706
Er 0.7974 0.8152 0.7706
Er 0.2974 0.6848 0.7706
Er 0.9320 0.3152 0.7706
Er 0.5680 0.8152 0.2294
Er 0.2026 0.1848 0.2294
Er 0.7026 0.3152 0.2294
Er 0.0680 0.6848 0.2294
Mg 0.2320 0.0000 0.5361
Mg 0.7320 0.5000 0.5361
Mg 0.7680 0.0000 0.4639
Mg 0.2680 0.5000 0.4639
Tc 0.1111 0.3809 0.0000
Tc 0.8889 0.6191 0.0000
Tc 0.3889 0.8809 0.0000
Tc 0.6111 0.1191 0.0000

As for the final energy: -5.229 eV/atom. The magnetic moment is 0.00 μB/f.u. As for the density: 7.55 g/cm³. The value obtained for the energy relative to the elements is -0.04 eV per atom. Its symmetry is No. 64. For the calculated volume, the calculation gives 475.2 Å³ per cell.



No. 4
A plane-wave DFT calculation with PBE was carried out for a geometry-optimized CdHg2Br2O2 structure.

Lattice parameters (Å, degrees): 4.0115 6.8990 6.8363 67.41 72.94 73.10
Sites, in units of the cell vectors:
Cd 0.0000 0.0000 0.0000
Hg 0.2353 0.3236 0.2057
Hg 0.7647 0.6764 0.7943
Br 0.5497 0.2038 0.6969
Br 0.4503 0.7962 0.3031
O 0.2061 0.7063 0.8815
O 0.7939 0.2937 0.1185

As for the final energy: -2.571 eV/atom. The magnetic moment is 0.00 μB/f.u. As for the density: 7.16 g/cm³. Its symmetry is No. 12. For the calculated volume, the calculation gives 163.6 Å³ per cell. The value obtained for the formation energy without anion corrections is -0.460 eV per atom.